Record 1
# CaRe2MoAs

A geometry-optimized CaRe2MoAs structure (PBE-GGA, the Alexandria database).

The total energy is -34.2 eV per cell. For the formation energy from the elements, the calculation gives 1.642 eV/atom. As for the crystal system: tetragonal. The spin magnetization is 0.000 μB/f.u.

It has space group P4/mmm (No. 123), with a = 4.700 Å, b = 4.700 Å, c = 5.351 Å, α = 90.00°, β = 90.00° and γ = 90.00°. Symmetry generates all atoms from Ca at (0.000, 0.000, 0.000), Re at (0.000, 0.500, 0.500), Mo at (0.000, 0.000, 0.500) and As at (0.500, 0.500, 0.000).

Record 2
# CaReMoAs2

A geometry-optimized CaReMoAs2 structure (PBE-GGA, the Alexandria database).

The total energy is -31.5 eV per cell. For the formation energy from the elements, the calculation gives 0.607 eV/atom. As for the crystal system: tetragonal. The spin magnetization is 1.329 μB/f.u.

It has space group P4/mmm (No. 123), with a = 4.887 Å, b = 4.887 Å, c = 4.898 Å, α = 90.00°, β = 90.00° and γ = 90.00°. Symmetry generates all atoms from Ca at (0.000, 0.000, 0.000), Re at (0.500, 0.500, 0.000), Mo at (0.500, 0.500, 0.500) and As at (0.000, 0.500, 0.500).

Record 3
# CaMoAs2S

A geometry-optimized CaMoAs2S structure (PBE-GGA, the Alexandria database).

The uncorrected formation energy is 0.2784 eV/atom. The total energy is -24.9 eV per cell. As for the crystal system: tetragonal. The spin magnetization is 0.948 μB/f.u.

It has space group P4/mmm (No. 123), with a = 5.113 Å, b = 5.113 Å, c = 4.390 Å, α = 90.00°, β = 90.00° and γ = 90.00°. Symmetry generates all atoms from Ca at (0.000, 0.000, 0.000), Mo at (0.500, 0.500, 0.000), As at (0.000, 0.500, 0.500) and S at (0.500, 0.500, 0.500).

Record 4
# CaMoAsSe2

A geometry-optimized CaMoAsSe2 structure (PBE-GGA, the Alexandria database).

The uncorrected formation energy is -0.3600 eV/atom. The total energy is -26.3 eV per cell. As for the crystal system: tetragonal. Its polymorph energy (0 for the lowest one) is 0.000 eV per atom. The spin magnetization is 0.380 μB/f.u.

It has space group P4/mmm (No. 123), with a = 5.071 Å, b = 5.071 Å, c = 4.835 Å, α = 90.00°, β = 90.00° and γ = 90.00°. Symmetry generates all atoms from Ca at (0.000, 0.000, 0.000), Mo at (0.500, 0.500, 0.500), As at (0.500, 0.500, 0.000) and Se at (0.000, 0.500, 0.500).

Record 5
# CaMoAsSe2

A geometry-optimized CaMoAsSe2 structure (PBE-GGA, the Alexandria database).

The uncorrected formation energy is 0.8946 eV/atom. The total energy is -20.0 eV per cell. As for the crystal system: tetragonal. Its polymorph energy (0 for the lowest one) is 1.255 eV per atom. The spin magnetization is 3.091 μB/f.u.

It has space group P4/mmm (No. 123), with a = 5.322 Å, b = 5.322 Å, c = 5.297 Å, α = 90.00°, β = 90.00° and γ = 90.00°. Symmetry generates all atoms from Ca at (0.000, 0.000, 0.000), Mo at (0.500, 0.500, 0.500), As at (0.000, 0.000, 0.500) and Se at (0.000, 0.500, 0.000).

Record 6
# CaMoAs2Se

A geometry-optimized CaMoAs2Se structure (PBE-GGA, the Alexandria database).

The uncorrected formation energy is 1.4478 eV/atom. The total energy is -18.4 eV per cell. As for the crystal system: tetragonal. Its polymorph energy (0 for the lowest one) is 1.703 eV per atom. The spin magnetization is 0.000 μB/f.u.

It has space group P4/mmm (No. 123), with a = 5.134 Å, b = 5.134 Å, c = 5.124 Å, α = 90.00°, β = 90.00° and γ = 90.00°. Symmetry generates all atoms from Ca at (0.000, 0.000, 0.000), Mo at (0.500, 0.500, 0.500), As at (0.000, 0.500, 0.000) and Se at (0.000, 0.000, 0.500).

Copy entry 1 word for word.
# CaRe2MoAs

A geometry-optimized CaRe2MoAs structure (PBE-GGA, the Alexandria database).

The total energy is -34.2 eV per cell. For the formation energy from the elements, the calculation gives 1.642 eV/atom. As for the crystal system: tetragonal. The spin magnetization is 0.000 μB/f.u.

It has space group P4/mmm (No. 123), with a = 4.700 Å, b = 4.700 Å, c = 5.351 Å, α = 90.00°, β = 90.00° and γ = 90.00°. Symmetry generates all atoms from Ca at (0.000, 0.000, 0.000), Re at (0.000, 0.500, 0.500), Mo at (0.000, 0.000, 0.500) and As at (0.500, 0.500, 0.000).

What is the spin magnetization in the third record? 0.948 μB/f.u.

What is the formula in the sixth record? CaMoAs2Se